Record 1
# MgRuW2 | Alexandria | PBE | relaxed
# density of states at the Fermi level = 27.64 states/eV per cell
# final energy = -8.9111 eV per atom
# E_form = 0.2831 eV per atom
# crystal system = cubic
data_MgRuW2
_chemical_formula_sum 'Mg4 Ru4 W8'
_symmetry_space_group_name_H-M 'F -4 3 m'
_symmetry_Int_Tables_number 216
_symmetry_space_group_name_Hall 'F -4 2 3'
_cell_length_a 6.309
_cell_length_b 6.309
_cell_length_c 6.309
_cell_angle_alpha 90.00
_cell_angle_beta 90.00
_cell_angle_gamma 90.00
loop_
_atom_site_label
_atom_site_fract_x
_atom_site_fract_y
_atom_site_fract_z
Mg1 0.000 0.000 0.000
Ru1 0.250 0.250 0.250
W1 0.000 0.000 0.500
W2 0.250 0.250 0.750



Record 2
# Mg2RuW | Alexandria | PBE | relaxed
# density of states at the Fermi level = 5.77 states/eV per cell
# final energy = -6.0884 eV per atom
# E_form = 0.2662 eV per atom
# crystal system = orthorhombic
data_Mg2RuW
_chemical_formula_sum 'Mg4 Ru2 W2'
_symmetry_space_group_name_H-M 'I m m 2'
_symmetry_Int_Tables_number 44
_cell_length_a 3.199
_cell_length_b 4.732
_cell_length_c 9.044
_cell_angle_alpha 90.00
_cell_angle_beta 90.00
_cell_angle_gamma 90.00
loop_
_symmetry_equiv_pos_as_xyz
'x,y,z'
'-x,-y,z'
'-x,y,z'
'x,-y,z'
'x+1/2,y+1/2,z+1/2'
'-x+1/2,-y+1/2,z+1/2'
'-x+1/2,y+1/2,z+1/2'
'x+1/2,-y+1/2,z+1/2'
loop_
_atom_site_label
_atom_site_fract_x
_atom_site_fract_y
_atom_site_fract_z
Mg1 0.000 0.000 0.000
Mg2 0.000 0.500 0.224
Ru1 0.000 0.000 0.476
W1 0.000 0.500 0.771



Record 3
# Mg2RuW | Alexandria | PBE | relaxed
# density of states at the Fermi level = 7.90 states/eV per cell
# final energy = -5.9997 eV per atom
# E_form = 0.3548 eV per atom
# crystal system = tetragonal
data_Mg2RuW
_chemical_formula_sum 'Mg4 Ru2 W2'
_symmetry_space_group_name_H-M 'I 4/m m m'
_symmetry_Int_Tables_number 139
_symmetry_space_group_name_Hall '-I 4 2'
_cell_length_a 3.799
_cell_length_b 3.799
_cell_length_c 9.070
_cell_angle_alpha 90.00
_cell_angle_beta 90.00
_cell_angle_gamma 90.00
loop_
_atom_site_label
_atom_site_fract_x
_atom_site_fract_y
_atom_site_fract_z
Mg1 0.000 0.500 0.250
Ru1 0.000 0.000 0.000
W1 0.000 0.000 0.500



Record 4
# MgRuW2 | Alexandria | PBE | relaxed
# density of states at the Fermi level = 4.54 states/eV per cell
# final energy = -8.9233 eV per atom
# E_form = 0.2709 eV per atom
# crystal system = monoclinic
data_MgRuW2
_chemical_formula_sum 'Mg1 Ru1 W2'
_symmetry_space_group_name_H-M 'P 1 2/m 1'
_symmetry_Int_Tables_number 10
_cell_length_a 2.766
_cell_length_b 4.433
_cell_length_c 5.293
_cell_angle_alpha 90.00
_cell_angle_beta 104.44
_cell_angle_gamma 90.00
loop_
_symmetry_equiv_pos_as_xyz
'x,y,z'
'-x,-y,-z'
'-x,y,-z'
'x,-y,z'
loop_
_atom_site_label
_atom_site_fract_x
_atom_site_fract_y
_atom_site_fract_z
Mg1 0.000 0.000 0.000
Ru1 0.500 0.000 0.500
W1 0.264 0.500 0.747



Record 5
# Mg2RuW | Alexandria | PBE | relaxed
# density of states at the Fermi level = 4.76 states/eV per cell
# final energy = -5.7233 eV per atom
# E_form = 0.6313 eV per atom
# crystal system = tetragonal
data_Mg2RuW
_chemical_formula_sum 'Mg2 Ru1 W1'
_symmetry_space_group_name_H-M 'P 4/m m m'
_symmetry_Int_Tables_number 123
_symmetry_space_group_name_Hall '-P 4 2'
_cell_length_a 4.879
_cell_length_b 4.879
_cell_length_c 2.785
_cell_angle_alpha 90.00
_cell_angle_beta 90.00
_cell_angle_gamma 90.00
loop_
_atom_site_label
_atom_site_fract_x
_atom_site_fract_y
_atom_site_fract_z
Mg1 0.000 0.500 0.000
Ru1 0.000 0.000 0.500
W1 0.500 0.500 0.500



Record 6
# Mg3RuW | Alexandria | PBE | relaxed
# density of states at the Fermi level = 7.27 states/eV per cell
# final energy = -4.0012 eV per atom
# E_form = 1.4014 eV per atom
# crystal system = cubic
data_Mg3RuW
_chemical_formula_sum 'Mg3 Ru1 W1'
_symmetry_space_group_name_H-M 'P m -3 m'
_symmetry_Int_Tables_number 221
_symmetry_space_group_name_Hall '-P 4 2 3'
_cell_length_a 4.707
_cell_length_b 4.707
_cell_length_c 4.707
_cell_angle_alpha 90.00
_cell_angle_beta 90.00
_cell_angle_gamma 90.00
loop_
_atom_site_label
_atom_site_fract_x
_atom_site_fract_y
_atom_site_fract_z
Mg1 0.000 0.000 0.500
Ru1 0.000 0.000 0.000
W1 0.500 0.500 0.500



Record 7
# MgRu2W | Alexandria | PBE | relaxed
# density of states at the Fermi level = 3.08 states/eV per cell
# final energy = -8.1212 eV per atom
# E_form = 0.1537 eV per atom
# crystal system = monoclinic
data_MgRu2W
_chemical_formula_sum 'Mg1 Ru2 W1'
_symmetry_space_group_name_H-M 'P 1 m 1'
_symmetry_Int_Tables_number 6
_cell_length_a 2.765
_cell_length_b 4.313
_cell_length_c 5.234
_cell_angle_alpha 90.00
_cell_angle_beta 103.09
_cell_angle_gamma 90.00
loop_
_symmetry_equiv_pos_as_xyz
'x,y,z'
'x,-y,z'
loop_
_atom_site_label
_atom_site_fract_x
_atom_site_fract_y
_atom_site_fract_z
Mg1 0.000 0.000 0.000
Ru1 0.064 0.000 0.501
Ru2 0.492 0.500 0.216
W1 0.470 0.500 0.727



Record 8
# MgRuW2 | Alexandria | PBE | relaxed
# density of states at the Fermi level = 5.88 states/eV per cell
# final energy = -8.9283 eV per atom
# E_form = 0.2659 eV per atom
# crystal system = tetragonal
data_MgRuW2
_chemical_formula_sum 'Mg1 Ru1 W2'
_symmetry_space_group_name_H-M 'P 4 m m'
_symmetry_Int_Tables_number 99
_cell_length_a 3.152
_cell_length_b 3.152
_cell_length_c 6.500
_cell_angle_alpha 90.00
_cell_angle_beta 90.00
_cell_angle_gamma 90.00
loop_
_symmetry_equiv_pos_as_xyz
'x,y,z'
'-y,x,z'
'-x,-y,z'
'y,-x,z'
'-x,y,z'
'y,x,z'
'x,-y,z'
'-y,-x,z'
loop_
_atom_site_label
_atom_site_fract_x
_atom_site_fract_y
_atom_site_fract_z
Mg1 0.000 0.000 0.000
Ru1 0.500 0.500 0.257
W1 0.000 0.000 0.483
W2 0.500 0.500 0.720



Record 9
# MgRu2W | Alexandria | PBE | relaxed
# density of states at the Fermi level = 24.15 states/eV per cell
# final energy = -7.8165 eV per atom
# E_form = 0.4583 eV per atom
# crystal system = cubic
data_MgRu2W
_chemical_formula_sum 'Mg4 Ru8 W4'
_symmetry_space_group_name_H-M 'F -4 3 m'
_symmetry_Int_Tables_number 216
_symmetry_space_group_name_Hall 'F -4 2 3'
_cell_length_a 6.231
_cell_length_b 6.231
_cell_length_c 6.231
_cell_angle_alpha 90.00
_cell_angle_beta 90.00
_cell_angle_gamma 90.00
loop_
_atom_site_label
_atom_site_fract_x
_atom_site_fract_y
_atom_site_fract_z
Mg1 0.000 0.000 0.000
Ru1 0.000 0.000 0.500
Ru2 0.250 0.250 0.250
W1 0.250 0.250 0.750



Record 10
# Mg3RuW | Alexandria | PBE | relaxed
# density of states at the Fermi level = 5.88 states/eV per cell
# final energy = -3.4608 eV per atom
# E_form = 1.9418 eV per atom
# crystal system = cubic
data_Mg3RuW
_chemical_formula_sum 'Mg3 Ru1 W1'
_symmetry_space_group_name_H-M 'P m -3 m'
_symmetry_Int_Tables_number 221
_symmetry_space_group_name_Hall '-P 4 2 3'
_cell_length_a 5.099
_cell_length_b 5.099
_cell_length_c 5.099
_cell_angle_alpha 90.00
_cell_angle_beta 90.00
_cell_angle_gamma 90.00
loop_
_atom_site_label
_atom_site_fract_x
_atom_site_fract_y
_atom_site_fract_z
Mg1 0.000 0.000 0.500
Ru1 0.500 0.500 0.500
W1 0.000 0.000 0.000



Record 11
# MgRu3W | Alexandria | PBE | relaxed
# density of states at the Fermi level = 2.86 states/eV per cell
# final energy = -6.8041 eV per atom
# E_form = 1.6709 eV per atom
# crystal system = cubic
data_MgRu3W
_chemical_formula_sum 'Mg1 Ru3 W1'
_symmetry_space_group_name_H-M 'P m -3 m'
_symmetry_Int_Tables_number 221
_symmetry_space_group_name_Hall '-P 4 2 3'
_cell_length_a 4.331
_cell_length_b 4.331
_cell_length_c 4.331
_cell_angle_alpha 90.00
_cell_angle_beta 90.00
_cell_angle_gamma 90.00
loop_
_atom_site_label
_atom_site_fract_x
_atom_site_fract_y
_atom_site_fract_z
Mg1 0.000 0.000 0.000
Ru1 0.000 0.000 0.500
W1 0.500 0.500 0.500



Record 12
# MgRuW2 | Alexandria | PBE | relaxed
# density of states at the Fermi level = 3.38 states/eV per cell
# final energy = -9.0844 eV per atom
# E_form = 0.1098 eV per atom
# crystal system = orthorhombic
data_MgRuW2
_chemical_formula_sum 'Mg2 Ru2 W4'
_symmetry_space_group_name_H-M 'I m m m'
_symmetry_Int_Tables_number 71
_symmetry_space_group_name_Hall '-I 2 2'
_cell_length_a 3.100
_cell_length_b 4.391
_cell_length_c 9.220
_cell_angle_alpha 90.00
_cell_angle_beta 90.00
_cell_angle_gamma 90.00
loop_
_atom_site_label
_atom_site_fract_x
_atom_site_fract_y
_atom_site_fract_z
Mg1 0.000 0.000 0.000
Ru1 0.000 0.000 0.500
W1 0.000 0.500 0.237



Record 13
# MgRu2W | Alexandria | PBE | relaxed
# density of states at the Fermi level = 10.47 states/eV per cell
# final energy = -8.1795 eV per atom
# E_form = 0.0953 eV per atom
# crystal system = trigonal
data_MgRu2W
_chemical_formula_sum 'Mg3 Ru6 W3'
_symmetry_space_group_name_H-M 'R -3 m'
_symmetry_Int_Tables_number 166
_symmetry_space_group_name_Hall '-R 3 2"'
_cell_length_a 2.8349
_cell_length_b 2.8349
_cell_length_c 26.6085
_cell_angle_alpha 90.00
_cell_angle_beta 90.00
_cell_angle_gamma 120.00
loop_
_atom_site_label
_atom_site_fract_x
_atom_site_fract_y
_atom_site_fract_z
Mg1 0.0000 0.0000 0.0000
Ru1 0.0000 0.0000 0.2469
W1 0.0000 0.0000 0.5000



Record 14
# MgRu2W | Alexandria | PBE | relaxed
# density of states at the Fermi level = 3.19 states/eV per cell
# final energy = -8.1220 eV per atom
# E_form = 0.1529 eV per atom
# crystal system = monoclinic
data_MgRu2W
_chemical_formula_sum 'Mg1 Ru2 W1'
_symmetry_space_group_name_H-M 'P 1 2/m 1'
_symmetry_Int_Tables_number 10
_cell_length_a 2.787
_cell_length_b 4.140
_cell_length_c 5.483
_cell_angle_alpha 90.00
_cell_angle_beta 102.24
_cell_angle_gamma 90.00
loop_
_symmetry_equiv_pos_as_xyz
'x,y,z'
'-x,-y,-z'
'-x,y,-z'
'x,-y,z'
loop_
_atom_site_label
_atom_site_fract_x
_atom_site_fract_y
_atom_site_fract_z
Mg1 0.000 0.000 0.000
Ru1 0.323 0.500 0.741
W1 0.500 0.000 0.500



Record 15
# Mg4RuW | Alexandria | PBE | relaxed
# density of states at the Fermi level = 22.33 states/eV per cell
# final energy = -4.0503 eV per atom
# E_form = 0.7176 eV per atom
# crystal system = cubic
data_Mg4RuW
_chemical_formula_sum 'Mg16 Ru4 W4'
_symmetry_space_group_name_H-M 'F -4 3 m'
_symmetry_Int_Tables_number 216
_symmetry_space_group_name_Hall 'F -4 2 3'
_cell_length_a 7.447
_cell_length_b 7.447
_cell_length_c 7.447
_cell_angle_alpha 90.00
_cell_angle_beta 90.00
_cell_angle_gamma 90.00
loop_
_atom_site_label
_atom_site_fract_x
_atom_site_fract_y
_atom_site_fract_z
Mg1 0.124 0.124 0.376
Ru1 0.000 0.000 0.000
W1 0.250 0.250 0.750



Record 16
# MgRuW2 | Alexandria | PBE | relaxed
# density of states at the Fermi level = 4.61 states/eV per cell
# final energy = -8.8136 eV per atom
# E_form = 0.3806 eV per atom
# crystal system = tetragonal
data_MgRuW2
_chemical_formula_sum 'Mg1 Ru1 W2'
_symmetry_space_group_name_H-M 'P 4/m m m'
_symmetry_Int_Tables_number 123
_symmetry_space_group_name_Hall '-P 4 2'
_cell_length_a 3.829
_cell_length_b 3.829
_cell_length_c 4.306
_cell_angle_alpha 90.00
_cell_angle_beta 90.00
_cell_angle_gamma 90.00
loop_
_atom_site_label
_atom_site_fract_x
_atom_site_fract_y
_atom_site_fract_z
Mg1 0.000 0.000 0.000
Ru1 0.500 0.500 0.000
W1 0.000 0.500 0.500



Record 17
# MgRuW2 | Alexandria | PBE | relaxed
# density of states at the Fermi level = 3.47 states/eV per cell
# final energy = -8.8782 eV per atom
# E_form = 0.3160 eV per atom
# crystal system = tetragonal
data_MgRuW2
_chemical_formula_sum 'Mg1 Ru1 W2'
_symmetry_space_group_name_H-M 'P 4/m m m'
_symmetry_Int_Tables_number 123
_symmetry_space_group_name_Hall '-P 4 2'
_cell_length_a 2.810
_cell_length_b 2.810
_cell_length_c 8.271
_cell_angle_alpha 90.00
_cell_angle_beta 90.00
_cell_angle_gamma 90.00
loop_
_atom_site_label
_atom_site_fract_x
_atom_site_fract_y
_atom_site_fract_z
Mg1 0.000 0.000 0.000
Ru1 0.000 0.000 0.500
W1 0.500 0.500 0.275



Record 18
# MgRu2W | Alexandria | PBE | relaxed
# density of states at the Fermi level = 1.07 states/eV per cell
# final energy = -8.3351 eV per atom
# E_form = -0.0602 eV per atom
# crystal system = tetragonal
data_MgRu2W
_chemical_formula_sum 'Mg1 Ru2 W1'
_symmetry_space_group_name_H-M 'P 4/m m m'
_symmetry_Int_Tables_number 123
_symmetry_space_group_name_Hall '-P 4 2'
_cell_length_a 4.380
_cell_length_b 4.380
_cell_length_c 3.104
_cell_angle_alpha 90.00
_cell_angle_beta 90.00
_cell_angle_gamma 90.00
loop_
_atom_site_label
_atom_site_fract_x
_atom_site_fract_y
_atom_site_fract_z
Mg1 0.000 0.000 0.000
Ru1 0.000 0.500 0.500
W1 0.500 0.500 0.000



Record 19
# Mg2RuW | Alexandria | PBE | relaxed
# density of states at the Fermi level = 1.21 states/eV per cell
# final energy = -6.3243 eV per atom
# E_form = 0.0302 eV per atom
# crystal system = tetragonal
data_Mg2RuW
_chemical_formula_sum 'Mg2 Ru1 W1'
_symmetry_space_group_name_H-M 'P 4 m m'
_symmetry_Int_Tables_number 99
_cell_length_a 3.098
_cell_length_b 3.098
_cell_length_c 7.223
_cell_angle_alpha 90.00
_cell_angle_beta 90.00
_cell_angle_gamma 90.00
loop_
_symmetry_equiv_pos_as_xyz
'x,y,z'
'-y,x,z'
'-x,-y,z'
'y,-x,z'
'-x,y,z'
'y,x,z'
'x,-y,z'
'-y,-x,z'
loop_
_atom_site_label
_atom_site_fract_x
_atom_site_fract_y
_atom_site_fract_z
Mg1 0.000 0.000 0.000
Mg2 0.500 0.500 0.304
Ru1 0.000 0.000 0.545
W1 0.500 0.500 0.738



Record 20
# Mg2RuW | Alexandria | PBE | relaxed
# density of states at the Fermi level = 3.58 states/eV per cell
# final energy = -6.1343 eV per atom
# E_form = 0.2202 eV per atom
# crystal system = monoclinic
data_Mg2RuW
_chemical_formula_sum 'Mg2 Ru1 W1'
_symmetry_space_group_name_H-M 'P 1 m 1'
_symmetry_Int_Tables_number 6
_cell_length_a 2.844
_cell_length_b 4.380
_cell_length_c 5.515
_cell_angle_alpha 90.00
_cell_angle_beta 100.83
_cell_angle_gamma 90.00
loop_
_symmetry_equiv_pos_as_xyz
'x,y,z'
'x,-y,z'
loop_
_atom_site_label
_atom_site_fract_x
_atom_site_fract_y
_atom_site_fract_z
Mg1 0.000 0.000 0.000
Mg2 0.287 0.500 0.739
Ru1 0.747 0.500 0.268
W1 0.586 0.000 0.465